--- i ---
A plane-wave DFT calculation with PBE-GGA was carried out for an optimized crystal structure of BaPd2Ru.

Computed properties:
Its size of the total moment is 1.1 μB per formula unit. The space group is I-42d, No. 122. The crystal system is tetragonal.

Cell: 5.176 5.176 9.224 Å, 73.71 73.71 90.00°
Last column: magnetic moment on the atom in μB.
Fractional positions:
Pd  0.375  0.592  0.750  0.12
Pd  0.875  0.658  0.750  0.12
Pd  0.342  0.625  0.250  0.11
Pd  0.408  0.125  0.250  0.11
Ba  0.750  0.250  0.500  -0.01
Ba  0.000  0.000  0.000  -0.01
Ru  0.500  0.500  0.000  0.87
Ru  0.250  0.750  0.500  0.88

--- ii ---
A plane-wave DFT calculation with PBE-GGA was carried out for an optimized crystal structure of BaPd2Ru.

Computed properties:
Its size of the total moment is 1.9 μB per formula unit. The space group is Fm-3m, No. 225. The crystal system is cubic.

Cell: 4.912 4.912 4.912 Å, 60.00 60.00 60.00°
Last column: magnetic moment on the atom in μB.
Fractional positions:
Pd  0.750  0.750  0.750  0.13
Pd  0.250  0.250  0.250  0.13
Ba  0.500  0.500  0.500  -0.03
Ru  0.000  0.000  0.000  1.67

Relative energies with respect to the most stable structure, expressed in meV/atom: i 0; ii 107.

--- i ---
A plane-wave DFT calculation with PBE-GGA was carried out for an optimized crystal structure of BaPdRu3.

Computed properties:
Its size of the total moment is 4.6 μB per formula unit. The space group is Pm-3m, No. 221. The crystal system is cubic.

Cell: 4.957 4.957 4.957 Å, 90.00 90.00 90.00°
Last column: magnetic moment on the atom in μB.
Fractional positions:
Ru  0.000  0.000  0.500  1.37
Ru  0.000  0.500  0.000  1.54
Ru  0.500  0.000  0.000  1.42
Pd  0.500  0.500  0.500  0.29
Ba  0.000  0.000  0.000  -0.06

--- ii ---
A plane-wave DFT calculation with PBE-GGA was carried out for an optimized crystal structure of BaPdRu3.

Computed properties:
Its size of the total moment is 5.4 μB per formula unit. The space group is Pm-3m, No. 221. The crystal system is cubic.

Cell: 4.922 4.922 4.922 Å, 90.00 90.00 90.00°
Last column: magnetic moment on the atom in μB.
Fractional positions:
Ru  0.500  0.000  0.000  1.14
Ru  0.000  0.500  0.000  1.69
Ru  0.000  0.000  0.500  1.98
Ba  0.500  0.500  0.500  -0.06
Pd  0.000  0.000  0.000  0.54

Relative energies with respect to the most stable structure, expressed in meV/atom: i 1321; ii 0.

--- i ---
A plane-wave DFT calculation with PBE-GGA was carried out for an optimized crystal structure of BaPd3S.

Computed properties:
Its size of the total moment is 0.0 μB per formula unit. The space group is Pm-3m, No. 221. The crystal system is cubic.

Cell: 5.322 5.322 5.322 Å, 90.00 90.00 90.00°
Fractional positions:
Pd  0.000  0.500  0.000
Pd  0.500  0.000  0.000
Pd  0.000  0.000  0.500
S  0.500  0.500  0.500
Ba  0.000  0.000  0.000

--- ii ---
A plane-wave DFT calculation with PBE-GGA was carried out for an optimized crystal structure of BaPd3S.

Computed properties:
Its size of the total moment is 0.0 μB per formula unit. The space group is Pm-3m, No. 221. The crystal system is cubic.

Cell: 4.752 4.752 4.752 Å, 90.00 90.00 90.00°
Fractional positions:
S  0.000  0.000  0.000
Pd  0.000  0.000  0.500
Pd  0.000  0.500  0.000
Pd  0.500  0.000  0.000
Ba  0.500  0.500  0.500

Relative energies with respect to the most stable structure, expressed in meV/atom: i 1745; ii 0.

--- i ---
A plane-wave DFT calculation with PBE-GGA was carried out for an optimized crystal structure of BaPdS3.

Computed properties:
Its size of the total moment is 0.0 μB per formula unit. The space group is Pm-3m, No. 221. The crystal system is cubic.

Cell: 4.848 4.848 4.848 Å, 90.00 90.00 90.00°
Fractional positions:
Ba  0.500  0.500  0.500
S  0.000  0.000  0.500
S  0.000  0.500  0.000
S  0.500  0.000  0.000
Pd  0.000  0.000  0.000

--- ii ---
A plane-wave DFT calculation with PBE-GGA was carried out for an optimized crystal structure of BaPdS3.

Computed properties:
Its size of the total moment is 0.0 μB per formula unit. The space group is Pm-3m, No. 221. The crystal system is cubic.

Cell: 5.803 5.803 5.803 Å, 90.00 90.00 90.00°
Last column: magnetic moment on the atom in μB.
Fractional positions:
S  0.000  0.000  0.500  -0.08
S  0.000  0.500  0.000  -0.09
S  0.500  0.000  0.000  -0.07
Ba  0.000  0.000  0.000  -0.01
Pd  0.500  0.500  0.500  0.41

Relative energies with respect to the most stable structure, expressed in meV/atom: i 0; ii 1627.

--- i ---
A plane-wave DFT calculation with PBE-GGA was carried out for an optimized crystal structure of BaPd2S2.

Computed properties:
Its size of the total moment is 0.0 μB per formula unit. The space group is P4/mbm, No. 127. The crystal system is tetragonal.

Cell: 8.472 8.472 3.799 Å, 90.00 90.00 90.00°
Fractional positions:
Pd  0.283  0.217  0.500
Pd  0.717  0.783  0.500
Pd  0.217  0.717  0.500
Pd  0.783  0.283  0.500
S  0.324  0.824  0.000
S  0.176  0.324  0.000
S  0.676  0.176  0.000
S  0.824  0.676  0.000
Ba  0.000  0.000  0.000
Ba  0.500  0.500  0.000

--- ii ---
A plane-wave DFT calculation with PBE-GGA was carried out for an optimized crystal structure of BaPd2S2.

Computed properties:
Its size of the total moment is 0.0 μB per formula unit. The space group is I4/mmm, No. 139. The crystal system is tetragonal.

Cell: 4.224 4.224 6.581 Å, 71.28 71.28 90.00°
Fractional positions:
Pd  0.750  0.250  0.500
Pd  0.250  0.750  0.500
S  0.364  0.364  0.271
S  0.636  0.636  0.729
Ba  0.000  0.000  0.000

Relative energies with respect to the most stable structure, expressed in meV/atom: i 342; ii 0.

--- i ---
A plane-wave DFT calculation with PBE-GGA was carried out for an optimized crystal structure of BaSbPd4.

Computed properties:
Its size of the total moment is 0.0 μB per formula unit. The space group is F-43m, No. 216. The crystal system is cubic.

Cell: 5.588 5.588 5.588 Å, 60.00 60.00 60.00°
Fractional positions:
Pd  0.626  0.626  0.626
Pd  0.626  0.626  0.121
Pd  0.121  0.626  0.626
Pd  0.626  0.121  0.626
Ba  0.250  0.250  0.250
Sb  0.000  0.000  0.000

--- ii ---
A plane-wave DFT calculation with PBE-GGA was carried out for an optimized crystal structure of BaSbPd4.

Computed properties:
Its size of the total moment is 0.0 μB per formula unit. The space group is Pmma, No. 51. The crystal system is orthorhombic.

Cell: 4.334 8.304 7.714 Å, 90.00 90.00 90.00°
Fractional positions:
Ba  0.000  0.350  0.250
Ba  0.000  0.650  0.750
Sb  0.000  0.779  0.250
Sb  0.000  0.221  0.750
Pd  0.500  0.770  0.445
Pd  0.000  0.000  0.500
Pd  0.000  0.000  0.000
Pd  0.500  0.940  0.750
Pd  0.500  0.060  0.250
Pd  0.500  0.770  0.055
Pd  0.500  0.230  0.945
Pd  0.500  0.230  0.555

Relative energies with respect to the most stable structure, expressed in meV/atom: i 143; ii 0.

--- i ---
A plane-wave DFT calculation with PBE-GGA was carried out for an optimized crystal structure of Ba2Sb3Pd2.

Computed properties:
Its size of the total moment is 0.0 μB per formula unit. The space group is Cmcm, No. 63. The crystal system is orthorhombic.

Cell: 5.069 7.486 10.821 Å, 90.00 103.55 90.00°
Fractional positions:
Sb  0.573  0.449  0.146
Sb  0.222  0.750  0.443
Sb  0.427  0.949  0.854
Sb  0.573  0.051  0.146
Sb  0.427  0.551  0.854
Sb  0.778  0.250  0.557
Ba  0.047  0.750  0.094
Ba  0.839  0.750  0.679
Ba  0.953  0.250  0.906
Ba  0.161  0.250  0.321
Pd  0.299  0.446  0.597
Pd  0.701  0.554  0.403
Pd  0.299  0.054  0.597
Pd  0.701  0.946  0.403

--- ii ---
A plane-wave DFT calculation with PBE-GGA was carried out for an optimized crystal structure of Ba2Sb3Pd2.

Computed properties:
Its size of the total moment is 0.0 μB per formula unit. The space group is C2/m, No. 12. The crystal system is monoclinic.

Cell: 4.705 6.351 7.753 Å, 110.33 90.00 111.74°
Fractional positions:
Pd  0.140  0.280  0.286
Pd  0.860  0.720  0.714
Ba  0.152  0.303  0.790
Ba  0.848  0.697  0.210
Sb  0.500  0.000  0.000
Sb  0.380  0.760  0.552
Sb  0.620  0.240  0.448

Relative energies with respect to the most stable structure, expressed in meV/atom: i 0; ii 37.

--- i ---
A plane-wave DFT calculation with PBE-GGA was carried out for an optimized crystal structure of BaSb2Pd4.

Computed properties:
Its size of the total moment is 0.0 μB per formula unit. The space group is P4_2/mnm, No. 136. The crystal system is tetragonal.

Cell: 4.136 8.524 8.524 Å, 90.00 90.00 90.00°
Fractional positions:
Pd  0.000  0.348  0.084
Pd  0.000  0.084  0.348
Pd  0.000  0.916  0.652
Pd  0.500  0.848  0.416
Pd  0.500  0.584  0.152
Pd  0.500  0.152  0.584
Pd  0.000  0.652  0.916
Pd  0.500  0.416  0.848
Sb  0.500  0.277  0.277
Sb  0.000  0.777  0.223
Sb  0.000  0.223  0.777
Sb  0.500  0.723  0.723
Ba  0.500  0.000  0.000
Ba  0.000  0.500  0.500

--- ii ---
A plane-wave DFT calculation with PBE-GGA was carried out for an optimized crystal structure of BaSb2Pd4.

Computed properties:
Its size of the total moment is 0.0 μB per formula unit. The space group is Pnma, No. 62. The crystal system is orthorhombic.

Cell: 4.552 7.361 19.148 Å, 90.00 90.00 90.00°
Fractional positions:
Pd  0.250  0.296  0.732
Pd  0.750  0.612  0.989
Pd  0.750  0.174  0.823
Pd  0.750  0.796  0.768
Pd  0.250  0.826  0.177
Pd  0.250  0.034  0.940
Pd  0.750  0.888  0.489
Pd  0.750  0.326  0.323
Pd  0.250  0.466  0.440
Pd  0.750  0.704  0.268
Pd  0.250  0.112  0.511
Pd  0.750  0.534  0.560
Pd  0.250  0.674  0.677
Pd  0.250  0.204  0.232
Pd  0.250  0.388  0.011
Pd  0.750  0.966  0.060
Sb  0.750  0.263  0.463
Sb  0.750  0.237  0.963
Sb  0.750  0.020  0.201
Sb  0.250  0.520  0.299
Sb  0.250  0.980  0.799
Sb  0.250  0.763  0.037
Sb  0.750  0.480  0.701
Sb  0.250  0.737  0.537
Ba  0.250  0.543  0.860
Ba  0.750  0.457  0.140
Ba  0.250  0.957  0.360
Ba  0.750  0.043  0.640

Relative energies with respect to the most stable structure, expressed in meV/atom: i 0; ii 25.

--- i ---
A plane-wave DFT calculation with PBE-GGA was carried out for an optimized crystal structure of BaSbTe2Pd.

Computed properties:
Its size of the total moment is 0.0 μB per formula unit. The space group is P4/mmm, No. 123. The crystal system is tetragonal.

Cell: 5.651 5.651 5.069 Å, 90.00 90.00 90.00°
Fractional positions:
Te  0.500  0.000  0.000
Te  0.000  0.500  0.000
Pd  0.000  0.000  0.000
Sb  0.000  0.000  0.500
Ba  0.500  0.500  0.500

--- ii ---
A plane-wave DFT calculation with PBE-GGA was carried out for an optimized crystal structure of BaSbTe2Pd.

Computed properties:
Its size of the total moment is 0.4 μB per formula unit. The space group is P4/mmm, No. 123. The crystal system is tetragonal.

Cell: 6.464 6.464 6.496 Å, 90.00 90.00 90.00°
Last column: magnetic moment on the atom in μB.
Fractional positions:
Te  0.000  0.500  0.000  -0.21
Te  0.500  0.000  0.000  -0.21
Ba  0.000  0.000  0.000  0.02
Pd  0.500  0.500  0.500  -0.24
Sb  0.000  0.000  0.500  0.52

Relative energies with respect to the most stable structure, expressed in meV/atom: i 0; ii 1517.

--- i ---
A plane-wave DFT calculation with PBE-GGA was carried out for an optimized crystal structure of BaSc3Pd.

Computed properties:
Its size of the total moment is 0.0 μB per formula unit. The space group is Pm-3m, No. 221. The crystal system is cubic.

Cell: 5.188 5.188 5.188 Å, 90.00 90.00 90.00°
Fractional positions:
Ba  0.000  0.000  0.000
Sc  0.000  0.000  0.500
Sc  0.500  0.000  0.000
Sc  0.000  0.500  0.000
Pd  0.500  0.500  0.500

--- ii ---
A plane-wave DFT calculation with PBE-GGA was carried out for an optimized crystal structure of BaSc3Pd.

Computed properties:
Its size of the total moment is 0.0 μB per formula unit. The space group is Pm-3m, No. 221. The crystal system is cubic.

Cell: 5.277 5.277 5.277 Å, 90.00 90.00 90.00°
Fractional positions:
Sc  0.000  0.500  0.000
Sc  0.000  0.000  0.500
Sc  0.500  0.000  0.000
Ba  0.500  0.500  0.500
Pd  0.000  0.000  0.000

Relative energies with respect to the most stable structure, expressed in meV/atom: i 1398; ii 0.

--- i ---
A plane-wave DFT calculation with PBE-GGA was carried out for an optimized crystal structure of BaSc2Pd.

Computed properties:
Its size of the total moment is 0.0 μB per formula unit. The space group is R-3m, No. 166. The crystal system is trigonal.

Cell: 11.331 11.331 11.331 Å, 16.99 16.99 16.99°
Fractional positions:
Ba  0.500  0.500  0.500
Sc  0.073  0.073  0.073
Sc  0.927  0.927  0.927
Pd  0.000  0.000  0.000

--- ii ---
A plane-wave DFT calculation with PBE-GGA was carried out for an optimized crystal structure of BaSc2Pd.

Computed properties:
Its size of the total moment is 0.0 μB per formula unit. The space group is Fm-3m, No. 225. The crystal system is cubic.

Cell: 5.119 5.119 5.119 Å, 60.00 60.00 60.00°
Fractional positions:
Sc  0.250  0.250  0.250
Sc  0.750  0.750  0.750
Ba  0.500  0.500  0.500
Pd  0.000  0.000  0.000

--- iii ---
A plane-wave DFT calculation with PBE-GGA was carried out for an optimized crystal structure of BaSc2Pd.

Computed properties:
Its size of the total moment is 0.0 μB per formula unit. The space group is I4_1/amd, No. 141. The crystal system is tetragonal.

Cell: 5.864 5.864 9.562 Å, 72.14 72.14 90.00°
Fractional positions:
Sc  0.875  0.625  0.750
Sc  0.375  0.125  0.250
Sc  0.375  0.625  0.250
Sc  0.375  0.625  0.750
Pd  0.250  0.750  0.500
Pd  0.500  0.500  0.000
Ba  0.750  0.250  0.500
Ba  0.000  0.000  0.000

Relative energies with respect to the most stable structure, expressed in meV/atom: i 253; ii 0; iii 192.

--- i ---
A plane-wave DFT calculation with PBE-GGA was carried out for an optimized crystal structure of BaSc2Pd2.

Computed properties:
Its size of the total moment is 0.0 μB per formula unit. The space group is I4/mmm, No. 139. The crystal system is tetragonal.

Cell: 4.552 4.552 6.963 Å, 70.92 70.92 90.00°
Fractional positions:
Sc  0.750  0.250  0.500
Sc  0.250  0.750  0.500
Pd  0.377  0.377  0.247
Pd  0.623  0.623  0.753
Ba  0.000  0.000  0.000

--- ii ---
A plane-wave DFT calculation with PBE-GGA was carried out for an optimized crystal structure of BaSc2Pd2.

Computed properties:
Its size of the total moment is 0.0 μB per formula unit. The space group is P4/mbm, No. 127. The crystal system is tetragonal.

Cell: 8.274 8.274 3.472 Å, 90.00 90.00 90.00°
Fractional positions:
Pd  0.867  0.633  0.000
Pd  0.367  0.867  0.000
Pd  0.633  0.133  0.000
Pd  0.133  0.367  0.000
Sc  0.863  0.363  0.500
Sc  0.637  0.863  0.500
Sc  0.363  0.137  0.500
Sc  0.137  0.637  0.500
Ba  0.000  0.000  0.000
Ba  0.500  0.500  0.000

Relative energies with respect to the most stable structure, expressed in meV/atom: i 0; ii 162.